[1]
A relaxed structure of CsRe2Te, computed with PBE.

abc: 3.941 3.943 16.751
angles: 90.31 96.40 106.17
Space group P1 (No. 1)
One atom of each set of equivalent atoms:
Cs: 0.000 0.000 0.000 [1 per cell]
Cs: 0.134 0.382 0.297 [1 per cell]
Re: 0.062 0.729 0.697 [1 per cell]
Re: 0.132 0.558 0.551 [1 per cell]
Re: 0.512 0.212 0.599 [1 per cell]
Re: 0.734 0.091 0.746 [1 per cell]
Te: 0.377 0.511 0.839 [1 per cell]
Te: 0.679 0.947 0.458 [1 per cell]

Spin magnetization in μB per atom: 0.00
DOS(E_F) in states/eV/cell: 3.8
ΔE_f (raw) in meV/atom: 279

[2]
A relaxed structure of HfTlOF2, computed with PBE.

abc: 4.561 4.561 4.340
angles: 90.00 90.00 90.00
Space group P4/mmm (No. 123)
One atom of each set of equivalent atoms:
Hf: 0.000 0.000 0.000 [1 per cell]
Tl: 0.500 0.500 0.500 [1 per cell]
O: 0.500 0.500 0.000 [1 per cell]
F: 0.000 0.500 0.500 [2 per cell]

Spin magnetization in μB per atom: 0.41
DOS(E_F) in states/eV/cell: 4.1
ΔE_f (raw) in meV/atom: -506

[3]
A relaxed structure of Tm4AlZnAg2, computed with PBE.

abc: 5.0570 5.0570 24.7401
angles: 90.00 90.00 120.00
Space group R-3m (No. 166, hexagonal axes)
One atom of each set of equivalent atoms:
Tm: 0.0000 0.0000 0.1233 [6 per cell]
Tm: 0.0000 0.0000 0.3734 [6 per cell]
Al: 0.0000 0.0000 0.5000 [3 per cell]
Zn: 0.0000 0.0000 0.0000 [3 per cell]
Ag: 0.0000 0.0000 0.2481 [6 per cell]

Energy of formation from the pure elements in meV/atom: -345
Spin magnetization in μB per atom: 0.00
DOS(E_F) in states/eV/cell: 13.6

[4]
A relaxed structure of LaThMgTl, computed with PBE.

abc: 7.833 7.833 7.833
angles: 90.00 90.00 90.00
Space group F-43m (No. 216)
One atom of each set of equivalent atoms:
La: 0.000 0.000 0.000 [4 per cell]
Th: 0.000 0.000 0.500 [4 per cell]
Mg: 0.250 0.250 0.750 [4 per cell]
Tl: 0.250 0.250 0.250 [4 per cell]

Energy of formation from the pure elements in meV/atom: -111
Spin magnetization in μB per atom: 0.00
DOS(E_F) in states/eV/cell: 10.8

[5]
A relaxed structure of Rb4Pr3VSe8, computed with PBE.

abc: 8.5765 8.5765 24.0398
angles: 90.00 90.00 120.00
Space group R-3m (No. 166, hexagonal axes)
One atom of each set of equivalent atoms:
Rb: 0.0000 0.0000 0.0000 [3 per cell]
Rb: 0.0000 0.5000 0.0000 [9 per cell]
Pr: 0.0000 0.5000 0.5000 [9 per cell]
V: 0.0000 0.0000 0.5000 [3 per cell]
Se: 0.0000 0.0000 0.2355 [6 per cell]
Se: 0.0284 0.5142 0.2304 [18 per cell]

Spin magnetization in μB per atom: 0.12
DOS(E_F) in states/eV/cell: 27.3
ΔE_f (raw) in meV/atom: -1452

[6]
A relaxed structure of Pm3Ho2Th, computed with PBE.

abc: 11.058 12.010 6.903
angles: 90.00 90.00 90.00
Space group Ibam (No. 72)
One atom of each set of equivalent atoms:
Pm: 0.000 0.000 0.250 [4 per cell]
Pm: 0.000 0.268 0.250 [8 per cell]
Ho: 0.243 0.195 0.000 [8 per cell]
Th: 0.000 0.500 0.000 [4 per cell]

Energy of formation from the pure elements in meV/atom: 603
Spin magnetization in μB per atom: 0.00
DOS(E_F) in states/eV/cell: 42.3

[7]
A relaxed structure of Pm5Pr3Er, computed with PBE.

abc: 17.029 8.412 12.473
angles: 90.00 131.43 90.00
Space group C2/m (No. 12)
One atom of each set of equivalent atoms:
Pm: 0.000 0.182 0.000 [4 per cell]
Pm: 0.059 0.000 0.421 [4 per cell]
Pm: 0.155 0.500 0.348 [4 per cell]
Pm: 0.213 0.194 0.776 [8 per cell]
Pr: 0.000 0.500 0.000 [2 per cell]
Pr: 0.000 0.500 0.500 [2 per cell]
Pr: 0.138 0.000 0.944 [4 per cell]
Pr: 0.208 0.000 0.308 [4 per cell]
Er: 0.113 0.500 0.874 [4 per cell]

Energy of formation from the pure elements in meV/atom: 381
Spin magnetization in μB per atom: 0.00
DOS(E_F) in states/eV/cell: 50.0

[8]
A relaxed structure of PmMgSn2Pd4, computed with PBE.

abc: 4.6135 4.6135 25.0135
angles: 90.00 90.00 120.00
Space group R-3m (No. 166, hexagonal axes)
One atom of each set of equivalent atoms:
Pm: 0.0000 0.0000 0.0000 [3 per cell]
Mg: 0.0000 0.0000 0.5000 [3 per cell]
Sn: 0.0000 0.0000 0.2453 [6 per cell]
Pd: 0.0000 0.0000 0.1311 [6 per cell]
Pd: 0.0000 0.0000 0.3949 [6 per cell]

Energy of formation from the pure elements in meV/atom: -737
Spin magnetization in μB per atom: 0.00
DOS(E_F) in states/eV/cell: 8.4

[9]
A relaxed structure of LaSc2Si, computed with PBE.

abc: 3.480 4.648 6.181
angles: 90.00 104.75 90.00
Space group P2/m (No. 10)
One atom of each set of equivalent atoms:
La: 0.000 0.000 0.000 [1 per cell]
Sc: 0.345 0.500 0.713 [2 per cell]
Si: 0.500 0.000 0.500 [1 per cell]

Spin magnetization in μB per atom: 0.00
DOS(E_F) in states/eV/cell: 4.5
ΔE_f (raw) in meV/atom: -211

[10]
A relaxed structure of Pr3Be2Ge3, computed with PBE.

abc: 4.001 11.164 15.434
angles: 90.00 90.00 90.00
Space group Cmcm (No. 63)
One atom of each set of equivalent atoms:
Pr: 0.000 0.040 0.250 [4 per cell]
Pr: 0.000 0.349 0.092 [8 per cell]
Be: 0.000 0.365 0.620 [8 per cell]
Ge: 0.000 0.078 0.059 [8 per cell]
Ge: 0.000 0.240 0.750 [4 per cell]

Energy of formation from the pure elements in meV/atom: -594
Spin magnetization in μB per atom: 0.00
DOS(E_F) in states/eV/cell: 16.9

[11]
A relaxed structure of MoIr2Ru, computed with PBE.

abc: 4.731 2.748 4.767
angles: 90.00 109.20 90.00
Space group P2/m (No. 10)
One atom of each set of equivalent atoms:
Mo: 0.000 0.000 0.000 [1 per cell]
Ir: 0.000 0.500 0.500 [1 per cell]
Ir: 0.500 0.000 0.500 [1 per cell]
Ru: 0.500 0.500 0.000 [1 per cell]

Energy of formation from the pure elements in meV/atom: -111
Spin magnetization in μB per atom: 0.00
DOS(E_F) in states/eV/cell: 4.5

[12]
A relaxed structure of Y3Tl2, computed with PBE.

abc: 3.609 3.609 22.009
angles: 90.00 90.00 90.00
Space group I4/mmm (No. 139)
One atom of each set of equivalent atoms:
Y: 0.000 0.000 0.000 [2 per cell]
Y: 0.000 0.000 0.192 [4 per cell]
Tl: 0.000 0.000 0.404 [4 per cell]

Energy of formation from the pure elements in meV/atom: -303
Spin magnetization in μB per atom: 0.03
DOS(E_F) in states/eV/cell: 10.1